{
  "formula": "Ca2InP",
  "functional": "PBE",
  "state": "optimized geometry",
  "formation_energy_ev_per_atom": -0.675,
  "sg": "P4/mmm, No. 123",
  "polymorph_energy_ev_per_atom": 0.000,
  "lattice": [[-3.759, 0.216, 0.103], [-0.147, -3.365, 1.684], [0.350, 3.111, 6.246]],
  "species": ["Ca", "Ca", "In", "P"],
  "frac_coords": [[0.000, 0.000, 0.963], [0.000, 0.000, 0.537], [0.500, 0.500, 0.250], [0.500, 0.500, 0.750]]
}

{
  "formula": "Y5Cu3",
  "functional": "PBE",
  "state": "optimized geometry",
  "formation_energy_ev_per_atom": -0.115,
  "sg": "P6_3/mcm, No. 193",
  "polymorph_energy_ev_per_atom": 0.048,
  "lattice": [[-5.441, 2.876, 5.676], [-0.975, -7.663, -3.227], [3.634, -2.453, 4.727]],
  "species": ["Cu", "Cu", "Cu", "Cu", "Cu", "Cu", "Y", "Y", "Y", "Y", "Y", "Y", "Y", "Y", "Y", "Y"],
  "frac_coords": [[0.600, 0.000, 0.250], [0.400, 0.000, 0.750], [0.000, 0.600, 0.250], [0.400, 0.400, 0.250], [0.600, 0.600, 0.750], [0.000, 0.400, 0.750], [0.333, 0.667, 0.000], [0.667, 0.333, 0.500], [0.667, 0.333, 0.000], [0.333, 0.667, 0.500], [0.245, 0.000, 0.250], [0.755, 0.000, 0.750], [0.000, 0.245, 0.250], [0.755, 0.755, 0.250], [0.245, 0.245, 0.750], [0.000, 0.755, 0.750]]
}

{
  "formula": "SnBr2Cl",
  "functional": "PBE",
  "state": "optimized geometry",
  "e_form_raw_mev_per_atom": -292.5,
  "sg": "R-3m, No. 166",
  "polymorph_energy_ev_per_atom": 0.156,
  "lattice": [[0.342, -3.595, 8.588], [-1.355, -6.760, 6.266], [2.883, -6.194, 6.334]],
  "species": ["Sn", "Br", "Br", "Cl"],
  "frac_coords": [[0.500, 0.500, 0.500], [0.899, 0.899, 0.899], [0.101, 0.101, 0.101], [0.000, 0.000, 0.000]]
}

{
  "formula": "Ta5VW4",
  "functional": "PBE",
  "state": "optimized geometry",
  "formation_energy_ev_per_atom": -0.074,
  "sg": "P4/mmm, No. 123",
  "lattice": [[3.233, 0.000, 0.000], [0.000, 3.233, 0.000], [0.000, 0.000, 16.139]],
  "species": ["Ta", "Ta", "Ta", "Ta", "Ta", "V", "W", "W", "W", "W"],
  "frac_coords": [[0.500, 0.500, 0.097], [0.500, 0.500, 0.298], [0.500, 0.500, 0.500], [0.500, 0.500, 0.702], [0.500, 0.500, 0.903], [0.000, 0.000, 0.000], [0.000, 0.000, 0.197], [0.000, 0.000, 0.399], [0.000, 0.000, 0.601], [0.000, 0.000, 0.803]]
}

{
  "formula": "LaTbEuIn",
  "functional": "PBE",
  "state": "optimized geometry",
  "formation_energy_ev_per_atom": -0.162,
  "sg": "F-43m, No. 216",
  "lattice": [[5.626, 0.000, 0.000], [2.813, 4.872, 0.000], [2.813, 1.624, 4.593]],
  "species": ["Eu", "In", "Tb", "La"],
  "frac_coords": [[0.750, 0.750, 0.750], [0.250, 0.250, 0.250], [0.000, 0.000, 0.000], [0.500, 0.500, 0.500]]
}

{
  "formula": "CsMg3Ag",
  "functional": "PBE",
  "state": "optimized geometry",
  "formation_energy_ev_per_atom": 1.210,
  "sg": "Pm-3m, No. 221",
  "lattice": [[-2.459, 5.371, -4.426], [-5.185, 1.718, 4.965], [4.643, 4.763, 3.201]],
  "species": ["Cs", "Mg", "Mg", "Mg", "Ag"],
  "frac_coords": [[0.000, 0.000, 0.000], [0.000, 0.500, 0.000], [0.000, 0.000, 0.500], [0.500, 0.000, 0.000], [0.500, 0.500, 0.500]]
}

{
  "formula": "Nd8TeAs3Se4",
  "functional": "PBE",
  "state": "optimized geometry",
  "e_form_raw_mev_per_atom": -1704.0,
  "sg": "R-3m, No. 166",
  "lattice": [[8.590, 0.000, 0.000], [0.000, 8.556, -0.031], [-4.295, -4.291, 6.077]],
  "species": ["Nd", "Nd", "Nd", "Nd", "Nd", "Nd", "Nd", "Nd", "Te", "As", "As", "As", "Se", "Se", "Se", "Se"],
  "frac_coords": [[0.257, 0.748, 0.991], [0.257, 0.748, 0.515], [0.254, 0.261, 0.507], [0.734, 0.748, 0.991], [0.266, 0.252, 0.009], [0.746, 0.739, 0.493], [0.743, 0.252, 0.485], [0.743, 0.252, 0.009], [0.000, 0.500, 0.000], [0.500, 0.500, 0.000], [0.500, 0.500, 0.500], [0.000, 0.500, 0.500], [0.500, 0.000, 0.000], [0.500, 0.000, 0.500], [0.000, 0.000, 0.000], [0.000, 0.000, 0.500]]
}

{
  "formula": "MnZn2Ru",
  "functional": "PBE",
  "state": "optimized geometry",
  "formation_energy_ev_per_atom": -0.047,
  "sg": "I4/mmm, No. 139",
  "polymorph_energy_ev_per_atom": 0.000,
  "lattice": [[4.661, -0.197, -0.005], [3.240, 3.356, -0.005], [1.597, 0.639, 3.411]],
  "species": ["Ru", "Zn", "Zn", "Mn"],
  "frac_coords": [[0.250, 0.250, 0.250], [0.000, 0.000, 0.000], [0.500, 0.500, 0.500], [0.750, 0.750, 0.750]]
}

| no. | total energy (eV/atom) | DOS(E_F) (states/eV/cell) |
| --- | --- | --- |
| 1 | -3.71 | 3.19 |
| 2 | -5.69 | 21.08 |
| 3 | -2.59 | 2.42 |
| 4 | -12.09 | 10.25 |
| 5 | -5.80 | 5.90 |
| 6 | -0.49 | 0.95 |
| 7 | -6.03 | 6.32 |
| 8 | -5.30 | 2.07 |